Entry 1:
Computed, not measured: a geometry-optimized CaMoPt structure at the PBE level of DFT.

Geometry as POSCAR:
```
CaMoPt
1.0
-4.1412 -1.7726 0.1693
0.5449 -1.7331 -4.8131
0.0218 -5.5893 2.0151
Ca Mo Pt
2 2 2
direct
0.0946 0.0162 0.9305 Ca
0.6677 0.5162 0.7842 Ca
0.3812 0.7659 0.3573 Mo
0.3812 0.2660 0.3573 Mo
0.9459 0.5161 0.2280 Pt
0.8166 0.0161 0.4867 Pt
```

Results
N(E_F)	3.851	states/eV/cell
energy relative to the elements	-0.24	eV/atom
offset from the most stable computed form	37.4	meV/atom



Entry 2:
Computed, not measured: a geometry-optimized CaMoPt structure at the PBE level of DFT.

Geometry as POSCAR:
```
CaMoPt
1.0
-2.7594 -0.6340 -0.3344
0.9564 -1.6275 -4.8065
1.3334 -7.2373 2.7160
Pt Ca Mo
2 2 2
direct
0.6665 0.9921 0.6261 Pt
0.6665 0.4921 0.0975 Pt
0.1663 0.4921 0.7277 Ca
0.1664 0.9921 0.9835 Ca
0.1667 0.7571 0.3546 Mo
0.1666 0.2270 0.3546 Mo
```

Results
N(E_F)	5.251	states/eV/cell
energy relative to the elements	-0.16	eV/atom
offset from the most stable computed form	122.2	meV/atom



Entry 3:
Computed, not measured: a geometry-optimized CaMoPt structure at the PBE level of DFT.

Geometry as POSCAR:
```
CaMoPt
1.0
-5.2866 -1.0401 0.1917
1.3331 -5.4197 -1.5883
0.0499 0.5691 4.4521
Mo Ca Pt
2 2 2
direct
0.9810 0.1696 0.6839 Mo
0.7354 0.2695 0.2340 Mo
0.7530 0.7240 0.9616 Ca
0.2507 0.6381 0.4186 Ca
0.4829 0.2102 0.7043 Pt
0.2283 0.0851 0.1417 Pt
```

Results
N(E_F)	6.274	states/eV/cell
energy relative to the elements	-0.11	eV/atom
offset from the most stable computed form	173.7	meV/atom



Please write out number 1 again, unchanged.
Computed, not measured: a geometry-optimized CaMoPt structure at the PBE level of DFT.

Geometry as POSCAR:
```
CaMoPt
1.0
-4.1412 -1.7726 0.1693
0.5449 -1.7331 -4.8131
0.0218 -5.5893 2.0151
Ca Mo Pt
2 2 2
direct
0.0946 0.0162 0.9305 Ca
0.6677 0.5162 0.7842 Ca
0.3812 0.7659 0.3573 Mo
0.3812 0.2660 0.3573 Mo
0.9459 0.5161 0.2280 Pt
0.8166 0.0161 0.4867 Pt
```

Results
N(E_F)	3.851	states/eV/cell
energy relative to the elements	-0.24	eV/atom
offset from the most stable computed form	37.4	meV/atom



Q: Look up the offset from the most stable computed form of the first one.
A: 37.4 meV/atom



Q: Which of these has the highest energy relative to the elements?
A: number 3